[1]
Here is NaSr12Sn4O3 after structural relaxation from Alexandria via LeMat-Bulk. Energies are from PBE-GGA.

Output
* formation energy from raw total energies: -1.0233 eV per atom
* total DFT energy (no corrections): -3.6427 eV/atom
* SG: Im-3m (229)
* volume: 31.1 Å³ per atom
* DOS(E_F): 4.14 states/eV/f.u.

a b c (Å): 9.3167 9.3167 9.3167
angles (deg): 109.47 109.47 109.47
Positions (direct):
Sn: 0.0000 0.5000 0.0000
Sn: 0.5000 0.5000 0.5000
Sn: 0.0000 0.0000 0.5000
Sn: 0.5000 0.0000 0.0000
Sr: 0.0000 0.2756 0.2756
Sr: 0.7244 0.7244 0.0000
Sr: 0.5000 0.2500 0.7500
Sr: 0.7500 0.2500 0.5000
Sr: 0.7244 0.0000 0.7244
Sr: 0.2756 0.2756 0.0000
Sr: 0.2500 0.5000 0.7500
Sr: 0.2756 0.0000 0.2756
Sr: 0.0000 0.7244 0.7244
Sr: 0.5000 0.7500 0.2500
Sr: 0.2500 0.7500 0.5000
Sr: 0.7500 0.5000 0.2500
O: 0.5000 0.5000 0.0000
O: 0.5000 0.0000 0.5000
O: 0.0000 0.5000 0.5000
Na: 0.0000 0.0000 0.0000


[2]
Here is Na2SrSnO4 after structural relaxation from Alexandria via LeMat-Bulk. Energies are from PBE-GGA.

Output
* formation energy from raw total energies: -1.8779 eV per atom
* total DFT energy (no corrections): -5.3974 eV/atom
* SG: P2/m (10)
* volume: 14.3 Å³ per atom
* DOS(E_F): 0.00 states/eV/f.u.

a b c (Å): 3.3802 6.0854 6.0098
angles (deg): 111.87 90.00 90.00
Positions (direct):
Na: 0.5000 0.0000 0.5000
Na: 0.0000 0.5000 0.5000
O: 0.0000 0.7970 0.2082
O: 0.5000 0.2188 0.2196
O: 0.0000 0.2030 0.7918
O: 0.5000 0.7812 0.7804
Sr: 0.5000 0.5000 0.0000
Sn: 0.0000 0.0000 0.0000


[3]
Here is NaSr2SnO after structural relaxation from Alexandria via LeMat-Bulk. Energies are from PBE-GGA.

Output
* formation energy from raw total energies: -1.2704 eV per atom
* total DFT energy (no corrections): -3.9992 eV/atom
* SG: P4/mmm (123)
* volume: 26.0 Å³ per atom
* DOS(E_F): 4.53 states/eV/f.u.

a b c (Å): 5.1239 5.1239 4.9479
angles (deg): 90.00 90.00 90.00
Positions (direct):
O: 0.0000 0.0000 0.0000
Sr: 0.5000 0.0000 0.0000
Sr: 0.0000 0.5000 0.0000
Sn: 0.5000 0.5000 0.5000
Na: 0.0000 0.0000 0.5000


[4]
Here is Na2SrSn3O8 after structural relaxation from Alexandria via LeMat-Bulk. Energies are from PBE-GGA.

Output
* formation energy from raw total energies: -1.8460 eV per atom
* total DFT energy (no corrections): -5.8456 eV/atom
* SG: R3m (160)
* volume: 15.0 Å³ per atom
* DOS(E_F): 0.00 states/eV/f.u.

a b c (Å): 6.5172 6.5172 6.8312
angles (deg): 61.51 61.51 60.00
Positions (direct):
Na: 0.4989 0.4989 0.5033
Na: 0.1178 0.1178 0.6466
O: 0.3113 0.7485 0.1917
O: 0.7343 0.7343 0.7972
O: 0.2466 0.6970 0.8097
O: 0.7485 0.7485 0.1917
O: 0.7485 0.3113 0.1917
O: 0.6970 0.2466 0.8097
O: 0.2466 0.2466 0.8097
O: 0.2634 0.2634 0.2099
Sr: 0.8779 0.8779 0.3664
Sn: 0.4991 0.4991 0.9982
Sn: 0.4991 0.0036 0.9982
Sn: 0.0036 0.4991 0.9982


[5]
Here is NaTaSn2O8 after structural relaxation from Alexandria via LeMat-Bulk. Energies are from PBE-GGA.

Output
* formation energy from raw total energies: -1.6586 eV per atom
* total DFT energy (no corrections): -6.7288 eV/atom
* SG: Cmmm (65)
* volume: 13.2 Å³ per atom
* DOS(E_F): 7.90 states/eV/f.u.

a b c (Å): 4.8562 4.8516 6.7195
angles (deg): 90.00 90.00 88.29
Site moments in Bohr magnetons follow the coordinates.
Positions (direct):
O: 0.7033 0.7039 0.0000  0.11
O: 0.7999 0.2005 0.7867  0.10
O: 0.2967 0.2961 0.0000  0.11
O: 0.2001 0.7995 0.7867  0.10
O: 0.2001 0.7995 0.2133  0.10
O: 0.6652 0.6660 0.5000  0.50
O: 0.3348 0.3340 0.5000  0.50
O: 0.7999 0.2005 0.2133  0.10
Na: 0.0000 0.0000 0.5000  0.01
Sn: 0.5000 0.5000 0.2397  -0.03
Sn: 0.5000 0.5000 0.7603  -0.03
Ta: 0.0000 0.0000 0.0000  -0.03


[6]
Here is Na2TbSnO4 after structural relaxation from Alexandria via LeMat-Bulk. Energies are from PBE-GGA.

Output
* formation energy from raw total energies: -2.0778 eV per atom
* total DFT energy (no corrections): -5.9658 eV/atom
* SG: I-4m2 (119)
* volume: 13.8 Å³ per atom
* DOS(E_F): 1.57 states/eV/f.u.

a b c (Å): 4.6614 4.6614 6.0658
angles (deg): 112.59 112.59 90.01
Positions (direct):
O: 0.5243 0.0243 0.0486
O: 0.9757 0.4757 0.9514
O: 0.7283 0.7283 0.4566
O: 0.2717 0.2717 0.5434
Na: 0.0000 0.0000 0.0000
Na: 0.2500 0.7500 0.5000
Sn: 0.7500 0.2500 0.5000
Tb: 0.5000 0.5000 0.0000


[7]
Here is NaTbSnO3 after structural relaxation from Alexandria via LeMat-Bulk. Energies are from PBE-GGA.

Output
* formation energy from raw total energies: -2.2327 eV per atom
* total DFT energy (no corrections): -6.3705 eV/atom
* SG: P2_1/m (11)
* volume: 18.8 Å³ per atom
* DOS(E_F): 0.00 states/eV/f.u.

a b c (Å): 3.4194 10.5503 6.2733
angles (deg): 84.39 90.00 90.00
Positions (direct):
O: 0.2500 0.5269 0.8014
O: 0.7500 0.2253 0.6324
O: 0.7500 0.4731 0.1986
O: 0.2500 0.2534 0.0014
O: 0.2500 0.7747 0.3676
O: 0.7500 0.7466 0.9986
Tb: 0.7500 0.3862 0.8774
Tb: 0.2500 0.6138 0.1226
Sn: 0.7500 0.8845 0.2112
Sn: 0.2500 0.1155 0.7888
Na: 0.7500 0.6931 0.6510
Na: 0.2500 0.3069 0.3490


[8]
Here is Na3Tb3SnO8 after structural relaxation from Alexandria via LeMat-Bulk. Energies are from PBE-GGA.

Output
* formation energy from raw total energies: -2.5488 eV per atom
* total DFT energy (no corrections): -6.6499 eV/atom
* SG: R-3m (166)
* volume: 15.0 Å³ per atom
* DOS(E_F): 0.00 states/eV/f.u.

a b c (Å): 6.8158 6.8152 6.8399
angles (deg): 119.89 90.00 120.00
Positions (direct):
O: 0.7353 0.4706 0.7058
O: 0.2211 0.9806 0.7016
O: 0.7595 0.9806 0.7016
O: 0.2211 0.4422 0.7016
O: 0.2405 0.0194 0.2984
O: 0.7789 0.0194 0.2984
O: 0.2647 0.5294 0.2942
O: 0.7789 0.5578 0.2984
Tb: 0.5000 0.0000 0.5000
Tb: 0.0000 0.5000 0.5000
Tb: 0.5000 0.5000 0.5000
Na: 0.5000 0.5000 0.0000
Na: 0.0000 0.0000 0.0000
Na: 0.0000 0.5000 0.0000
Sn: 0.0000 0.0000 0.5000